A plane-wave DFT calculation with PBE with a Hubbard U was carried out for a geometry-optimized CaEuFeSbO6 structure.

Output
The raw total energy comes out at -7.269 eV per atom. Its density of states at the Fermi level is 53.547 states/eV/cell.

a = 7.982 Å, b = 7.982 Å, c = 7.982 Å
α = 90.00°, β = 90.00°, γ = 90.00°
Space group F-43m (No. 216)
Symmetry-distinct sites (fractional):
Ca 0.000 0.000 0.000
Eu 0.000 0.000 0.500
Fe 0.250 0.250 0.750
Sb 0.250 0.250 0.250
O 0.001 0.250 0.250